Record 1
# AcPb2IO6

AcPb2IO6 after structural relaxation (GGA-PBE, Alexandria).

Properties
* total magnetic moment: 0.0 μB/f.u.
* E_form (uncorrected): -1384 meV/atom

Lattice parameters (Å, degrees): 6.0141 6.2759 6.3770 117.21 116.81 90.96
Last column: nearest neighbours and their distance in Å.
Sites, in units of the cell vectors:
1 Ac 0.0000 0.0000 0.0000  6 O 2.42-2.64
2 Pb 0.2185 0.7916 0.4521  3 O 2.34-2.54
3 Pb 0.7511 0.2420 0.4693  3 O 2.28-2.51
4 I 0.5345 0.5170 0.0753  4 O 1.92-2.08
5 O 0.1183 0.1566 0.4715  2 Pb 2.28-2.34, 1 Ac 2.42
6 O 0.2957 0.3792 0.1482  1 I 1.99
7 O 0.3916 0.8452 0.1776  1 I 2.18
8 O 0.6759 0.2251 0.0533  1 I 2.01
9 O 0.7816 0.6945 0.4642  1 I 1.92
10 O 0.8257 0.6539 0.0394  1 I 2.08

Record 2
# AcPdIO6

AcPdIO6 after structural relaxation (GGA-PBE, Alexandria).

Properties
* total magnetic moment: 0.0 μB/f.u.
* E_form (uncorrected): -1173 meV/atom

Lattice parameters (Å, degrees): 5.4603 5.4603 5.4168 90.00 90.00 120.00
Last column: nearest neighbours and their distance in Å.
Sites, in units of the cell vectors:
1 Ac 0.0000 0.0000 0.0000  6 O 2.54
2 Pd 0.3333 0.6667 0.5000  6 O 2.04
3 I 0.6667 0.3333 0.5000  6 O 2.12
4 O 0.0116 0.3725 0.7124  1 Pd 2.04, 1 I 2.12
5 O 0.0116 0.6391 0.2876  1 Pd 2.04, 1 I 2.12
6 O 0.3609 0.3725 0.2876  1 Pd 2.04, 1 I 2.12
7 O 0.3609 0.9884 0.7124  1 Pd 2.04, 1 I 2.12
8 O 0.6275 0.6391 0.7124  1 Pd 2.04, 1 I 2.12
9 O 0.6275 0.9884 0.2876  1 Pd 2.04, 1 I 2.12

Record 3
# Ac2PmIO8

Ac2PmIO8 after structural relaxation (GGA-PBE, Alexandria).

Properties
* total magnetic moment: 0.0 μB/f.u.
* E_form (uncorrected): -2228 meV/atom

Lattice parameters (Å, degrees): 5.3629 5.3629 7.2408 90.00 90.00 91.31
Last column: nearest neighbours and their distance in Å.
Sites, in units of the cell vectors:
1 Ac 0.0000 0.0000 0.2436  6 O 2.37-2.56
2 Ac 0.0000 0.0000 0.7564  6 O 2.37-2.56
3 Pm 0.5000 0.5000 0.5000  6 O 2.27-2.54
4 I 0.5000 0.5000 0.0000  6 O 1.89-1.94
5 O 0.1967 0.1967 0.5000  1 Pm 2.27, 2 Ac 2.37
6 O 0.2484 0.2484 0.0000  1 I 1.89
7 O 0.3306 0.6694 0.1988  1 I 1.94
8 O 0.3306 0.6694 0.8012  1 I 1.94
9 O 0.6694 0.3306 0.1988  1 I 1.94
10 O 0.6694 0.3306 0.8012  1 I 1.94
11 O 0.7516 0.7516 0.0000  1 I 1.89
12 O 0.8033 0.8033 0.5000  1 Pm 2.27, 2 Ac 2.37

Record 4
# AcPmI2O8

AcPmI2O8 after structural relaxation (GGA-PBE, Alexandria).

Properties
* total magnetic moment: 0.0 μB/f.u.
* E_form (uncorrected): -1520 meV/atom

Lattice parameters (Å, degrees): 7.2529 7.2529 7.2529 47.54 47.54 47.54
Last column: nearest neighbours and their distance in Å.
Sites, in units of the cell vectors:
1 Ac 0.0000 0.0000 0.0000  6 O 2.67
2 Pm 0.5000 0.5000 0.5000  6 O 2.38
3 I 0.2281 0.2281 0.2281  4 O 1.82-2.02
4 I 0.7719 0.7719 0.7719  4 O 1.82-2.02
5 O 0.1009 0.4120 0.7924  1 I 2.02
6 O 0.2076 0.8991 0.5880  1 I 2.02
7 O 0.3224 0.3224 0.3224  1 I 1.82
8 O 0.4120 0.7924 0.1009  1 I 2.02
9 O 0.5880 0.2076 0.8991  1 I 2.02
10 O 0.6776 0.6776 0.6776  1 I 1.82
11 O 0.7924 0.1009 0.4120  1 I 2.02
12 O 0.8991 0.5880 0.2076  1 I 2.02

Record 5
# AcPm2IO8

AcPm2IO8 after structural relaxation (GGA-PBE, Alexandria).

Properties
* total magnetic moment: 0.0 μB/f.u.
* E_form (uncorrected): -2251 meV/atom

Lattice parameters (Å, degrees): 5.1905 7.2379 5.1967 90.00 90.77 90.00
Last column: nearest neighbours and their distance in Å.
Sites, in units of the cell vectors:
1 Ac 0.0000 0.0000 0.0000  6 O 2.37-2.59
2 Pm 0.5000 0.2532 0.5000  6 O 2.26-2.53
3 Pm 0.5000 0.7468 0.5000  6 O 2.26-2.53
4 I 0.0000 0.5000 0.0000  6 O 1.91-1.92
5 O 0.1802 0.3073 0.1817  1 I 1.92
6 O 0.1802 0.6927 0.1817  1 I 1.92
7 O 0.2587 0.5000 0.7433  1 I 1.91
8 O 0.3216 0.0000 0.6811  2 Pm 2.26, 1 Ac 2.37
9 O 0.6784 0.0000 0.3189  2 Pm 2.26, 1 Ac 2.37
10 O 0.7413 0.5000 0.2567  1 I 1.91
11 O 0.8198 0.3073 0.8183  1 I 1.92
12 O 0.8198 0.6927 0.8183  1 I 1.92

Record 6
# AcPmIO6

AcPmIO6 after structural relaxation (GGA-PBE, Alexandria).

Properties
* total magnetic moment: 0.0 μB/f.u.
* E_form (uncorrected): -1935 meV/atom

Lattice parameters (Å, degrees): 5.9757 5.9757 9.3609 90.00 90.00 120.00
Last column: nearest neighbours and their distance in Å.
Sites, in units of the cell vectors:
1 Ac 0.3333 0.6667 0.2500  6 O 2.52
2 Ac 0.6667 0.3333 0.7500  6 O 2.52
3 Pm 0.0000 0.0000 0.0000  6 O 2.40
4 Pm 0.0000 0.0000 0.5000  6 O 2.40
5 I 0.3333 0.6667 0.7500  6 O 2.03
6 I 0.6667 0.3333 0.2500  6 O 2.03
7 O 0.0622 0.3731 0.6303  1 I 2.03
8 O 0.0622 0.6891 0.8697  1 I 2.03
9 O 0.3109 0.3731 0.8697  1 I 2.03
10 O 0.3109 0.9378 0.6303  1 I 2.03
11 O 0.3731 0.0622 0.1303  1 I 2.03
12 O 0.3731 0.3109 0.3697  1 I 2.03
13 O 0.6269 0.6891 0.6303  1 I 2.03
14 O 0.6269 0.9378 0.8697  1 I 2.03
15 O 0.6891 0.0622 0.3697  1 I 2.03
16 O 0.6891 0.6269 0.1303  1 I 2.03
17 O 0.9378 0.3109 0.1303  1 I 2.03
18 O 0.9378 0.6269 0.3697  1 I 2.03

Record 7
# AcPtI2O8

AcPtI2O8 after structural relaxation (GGA-PBE, Alexandria).

Properties
* total magnetic moment: 1.0 μB/f.u.
* E_form (uncorrected): -835 meV/atom

Lattice parameters (Å, degrees): 6.1527 6.1527 6.9217 90.00 90.00 120.00
Last column: nearest neighbours and their distance in Å.
Sites, in units of the cell vectors:
1 Ac 0.0000 0.0000 0.0000  6 O 2.57
2 Pt 0.0000 0.0000 0.5000  6 O 2.12
3 I 0.3333 0.6667 0.3103  4 O 1.82-1.99
4 I 0.6667 0.3333 0.6897  4 O 1.82-1.99
5 O 0.1470 0.2940 0.2937  1 I 1.99, 1 Pt 2.12
6 O 0.1470 0.8530 0.2937  1 I 1.99, 1 Pt 2.12
7 O 0.2940 0.1470 0.7063  1 I 1.99, 1 Pt 2.12
8 O 0.3333 0.6667 0.0473  1 I 1.82
9 O 0.6667 0.3333 0.9527  1 I 1.82
10 O 0.7060 0.8530 0.2937  1 I 1.99, 1 Pt 2.12
11 O 0.8530 0.1470 0.7063  1 I 1.99, 1 Pt 2.12
12 O 0.8530 0.7060 0.7063  1 I 1.99, 1 Pt 2.12

Record 8
# AcPuIO2

AcPuIO2 after structural relaxation (GGA-PBE, Alexandria).

Properties
* total magnetic moment: 6.0 μB/f.u.
* E_form (uncorrected): -2511 meV/atom

Lattice parameters (Å, degrees): 7.3018 7.3018 7.3018 146.26 146.26 48.46
Last column: nearest neighbours and their distance in Å.
Sites, in units of the cell vectors:
1 Ac 0.0000 0.0000 0.0000  4 O 2.44
2 Pu 0.6737 0.6737 0.0000  4 O 2.39
3 I 0.3300 0.3300 0.0000  4 Pu 3.65, 4 Ac 3.76, 8 O 3.82-4.07
4 O 0.0909 0.5909 0.5000  2 Pu 2.39, 2 Ac 2.44
5 O 0.5909 0.0909 0.5000  2 Pu 2.39, 2 Ac 2.44

Record 9
# RbAcI2O

RbAcI2O after structural relaxation (GGA-PBE, Alexandria).

Properties
* total magnetic moment: 0.0 μB/f.u.
* E_form (uncorrected): -2132 meV/atom

Lattice parameters (Å, degrees): 4.6078 4.6078 16.8865 90.00 90.00 90.00
Last column: nearest neighbours and their distance in Å.
Sites, in units of the cell vectors:
1 Rb 0.2500 0.2500 0.0894  4 I 3.38
2 Rb 0.7500 0.7500 0.9106  4 I 3.38
3 Ac 0.2500 0.2500 0.5648  4 O 2.55
4 Ac 0.7500 0.7500 0.4352  4 O 2.55
5 I 0.2500 0.2500 0.3297  4 O 3.68, 5 Ac 3.71-3.97, 1 Rb 4.06
6 I 0.2500 0.2500 0.8579  4 Rb 3.38
7 I 0.7500 0.7500 0.1421  4 Rb 3.38
8 I 0.7500 0.7500 0.6703  4 O 3.68, 5 Ac 3.71-3.97, 1 Rb 4.06
9 O 0.2500 0.7500 0.5000  4 Ac 2.55
10 O 0.7500 0.2500 0.5000  4 Ac 2.55

Record 10
# RbAc2IO6

RbAc2IO6 after structural relaxation (GGA-PBE, Alexandria).

Properties
* total magnetic moment: 0.0 μB/f.u.
* E_form (uncorrected): -2035 meV/atom

Lattice parameters (Å, degrees): 6.6911 6.6911 6.6911 57.37 57.37 57.37
Last column: nearest neighbours and their distance in Å.
Sites, in units of the cell vectors:
1 Rb 0.0000 0.0000 0.0000  3 O 2.76
2 Ac 0.2222 0.2222 0.2222  6 O 2.46-2.58
3 Ac 0.7520 0.7520 0.7520  3 O 2.41
4 I 0.5441 0.5441 0.5441  3 O 1.95
5 O 0.1507 0.4674 0.8154  1 I 2.41, 2 Ac 2.41-2.46
6 O 0.3922 0.8695 0.5854  1 I 1.95
7 O 0.4674 0.8154 0.1507  1 I 2.41, 2 Ac 2.41-2.46
8 O 0.5854 0.3922 0.8695  1 I 1.95
9 O 0.8154 0.1507 0.4674  1 I 2.41, 2 Ac 2.41-2.46
10 O 0.8695 0.5854 0.3922  1 I 1.95